1.
Crystalline Zr2PtWSe at its relaxed geometry, computed with PBE.

```
data_Zr2PtWSe
_symmetry_space_group_name_H-M 'P 1'
_symmetry_Int_Tables_number 1
_cell_length_a 5.114
_cell_length_b 5.114
_cell_length_c 4.639
_cell_angle_alpha 90.00
_cell_angle_beta 90.00
_cell_angle_gamma 90.00
loop_
_symmetry_equiv_pos_as_xyz
'x,y,z'
loop_
_atom_site_label
_atom_site_fract_x
_atom_site_fract_y
_atom_site_fract_z
Zr1 0.000 0.500 0.000
Zr2 0.500 0.000 0.000
Pt1 0.000 0.000 0.000
W1 0.500 0.500 0.500
Se1 0.000 0.000 0.500
```

Summary:
Its volume is 24.27 Å³/atom. The value obtained for the total moment is 0.46 μB/f.u. For the energy relative to the elements, uncorrected, the calculation gives 1.07 eV/atom. The value obtained for the density of states at the Fermi level is 1.2657 states/eV per atom.


2.
Crystalline SrIn2Ag9 at its relaxed geometry, computed with PBE.

```
data_SrIn2Ag9
_symmetry_space_group_name_H-M 'P 1'
_symmetry_Int_Tables_number 1
_cell_length_a 9.809
_cell_length_b 9.809
_cell_length_c 9.809
_cell_angle_alpha 33.53
_cell_angle_beta 33.53
_cell_angle_gamma 33.53
loop_
_symmetry_equiv_pos_as_xyz
'x,y,z'
loop_
_atom_site_label
_atom_site_fract_x
_atom_site_fract_y
_atom_site_fract_z
Sr1 0.000 0.000 0.000
In1 0.143 0.143 0.143
In2 0.857 0.857 0.857
Ag1 0.081 0.587 0.587
Ag2 0.334 0.334 0.334
Ag3 0.413 0.413 0.919
Ag4 0.413 0.919 0.413
Ag5 0.500 0.500 0.500
Ag6 0.587 0.081 0.587
Ag7 0.587 0.587 0.081
Ag8 0.666 0.666 0.666
Ag9 0.919 0.413 0.413
```

Summary:
Its volume is 21.38 Å³/atom. The value obtained for the total moment is 0.00 μB/f.u. The value obtained for the density of states at the Fermi level is 0.2705 states/eV per atom. Its formation energy is -0.08 eV/atom.


3.
Crystalline TaMn2Zn at its relaxed geometry, computed with PBE.

```
data_TaMn2Zn
_symmetry_space_group_name_H-M 'P 1'
_symmetry_Int_Tables_number 1
_cell_length_a 4.097
_cell_length_b 4.097
_cell_length_c 3.253
_cell_angle_alpha 90.00
_cell_angle_beta 90.00
_cell_angle_gamma 90.00
loop_
_symmetry_equiv_pos_as_xyz
'x,y,z'
loop_
_atom_site_label
_atom_site_fract_x
_atom_site_fract_y
_atom_site_fract_z
Ta1 0.000 0.000 0.000
Mn1 0.000 0.500 0.500
Mn2 0.500 0.000 0.500
Zn1 0.500 0.500 0.000
```

Summary:
Its volume is 13.65 Å³/atom. The value obtained for the total moment is 2.93 μB/f.u. The value obtained for the density of states at the Fermi level is 0.4133 states/eV per atom. Its formation energy is -0.03 eV/atom.


4.
Crystalline K2SiHg at its relaxed geometry, computed with PBE.

```
data_K2SiHg
_symmetry_space_group_name_H-M 'P 1'
_symmetry_Int_Tables_number 1
_cell_length_a 5.604
_cell_length_b 4.684
_cell_length_c 6.282
_cell_angle_alpha 90.00
_cell_angle_beta 116.42
_cell_angle_gamma 90.00
loop_
_symmetry_equiv_pos_as_xyz
'x,y,z'
loop_
_atom_site_label
_atom_site_fract_x
_atom_site_fract_y
_atom_site_fract_z
K1 0.000 0.000 0.000
K2 0.300 0.500 0.597
Si1 0.689 0.000 0.379
Hg1 0.613 0.500 0.223
```

Summary:
Its volume is 36.91 Å³/atom. The value obtained for the total moment is 0.00 μB/f.u. The calculation puts the energy above the lowest structure with this stoichiometry at 0 meV/atom. For the energy relative to the elements, uncorrected, the calculation gives -0.01 eV/atom. The value obtained for the density of states at the Fermi level is 0.2709 states/eV per atom.


5.
Crystalline BaAg2Os2 at its relaxed geometry, computed with PBE.

```
data_BaAg2Os2
_symmetry_space_group_name_H-M 'P 1'
_symmetry_Int_Tables_number 1
_cell_length_a 6.244
_cell_length_b 6.244
_cell_length_c 6.244
_cell_angle_alpha 136.37
_cell_angle_beta 136.37
_cell_angle_gamma 63.40
loop_
_symmetry_equiv_pos_as_xyz
'x,y,z'
loop_
_atom_site_label
_atom_site_fract_x
_atom_site_fract_y
_atom_site_fract_z
Ba1 0.000 0.000 0.000
Ag1 0.250 0.750 0.500
Ag2 0.750 0.250 0.500
Os1 0.394 0.394 0.000
Os2 0.606 0.606 0.000
```

Summary:
Its volume is 22.87 Å³/atom. The value obtained for the total moment is 0.00 μB/f.u. The value obtained for the density of states at the Fermi level is 0.6897 states/eV per atom. Its formation energy is 0.72 eV/atom.


6.
Crystalline LiCoAs2Ru at its relaxed geometry, computed with PBE.

```
data_LiCoAs2Ru
_symmetry_space_group_name_H-M 'P 1'
_symmetry_Int_Tables_number 1
_cell_length_a 5.925
_cell_length_b 5.925
_cell_length_c 5.925
_cell_angle_alpha 140.76
_cell_angle_beta 140.76
_cell_angle_gamma 56.70
loop_
_symmetry_equiv_pos_as_xyz
'x,y,z'
loop_
_atom_site_label
_atom_site_fract_x
_atom_site_fract_y
_atom_site_fract_z
Li1 0.000 0.000 0.000
Co1 0.250 0.750 0.500
As1 0.374 0.374 0.000
As2 0.626 0.626 0.000
Ru1 0.750 0.250 0.500
```

Summary:
Its volume is 16.51 Å³/atom. The value obtained for the total moment is 0.00 μB/f.u. The value obtained for the density of states at the Fermi level is 0.3921 states/eV per atom. Its formation energy is -0.35 eV/atom.


7.
Crystalline CdAg2PdAu2 at its relaxed geometry, computed with PBE.

```
data_CdAg2PdAu2
_symmetry_space_group_name_H-M 'P 1'
_symmetry_Int_Tables_number 1
_cell_length_a 4.143
_cell_length_b 8.769
_cell_length_c 5.878
_cell_angle_alpha 90.00
_cell_angle_beta 90.00
_cell_angle_gamma 90.00
loop_
_symmetry_equiv_pos_as_xyz
'x,y,z'
loop_
_atom_site_label
_atom_site_fract_x
_atom_site_fract_y
_atom_site_fract_z
Cd1 0.000 0.001 0.000
Cd2 0.000 0.999 0.500
Ag1 0.000 0.335 0.003
Ag2 0.000 0.665 0.503
Ag3 0.500 0.498 0.249
Ag4 0.500 0.502 0.749
Pd1 0.500 0.162 0.250
Pd2 0.500 0.838 0.750
Au1 0.000 0.333 0.495
Au2 0.000 0.667 0.995
Au3 0.500 0.171 0.751
Au4 0.500 0.829 0.251
```

Summary:
Its volume is 17.80 Å³/atom. The value obtained for the total moment is 0.00 μB/f.u. The value obtained for the density of states at the Fermi level is 0.3478 states/eV per atom. Its formation energy is -0.15 eV/atom.


8.
Crystalline NaSr2Au at its relaxed geometry, computed with PBE.

```
data_NaSr2Au
_symmetry_space_group_name_H-M 'P 1'
_symmetry_Int_Tables_number 1
_cell_length_a 7.589
_cell_length_b 7.589
_cell_length_c 7.589
_cell_angle_alpha 105.03
_cell_angle_beta 105.03
_cell_angle_gamma 118.78
loop_
_symmetry_equiv_pos_as_xyz
'x,y,z'
loop_
_atom_site_label
_atom_site_fract_x
_atom_site_fract_y
_atom_site_fract_z
Na1 0.000 0.000 0.000
Na2 0.750 0.250 0.500
Sr1 0.187 0.625 0.062
Sr2 0.375 0.437 0.562
Sr3 0.563 0.125 0.938
Sr4 0.875 0.813 0.438
Au1 0.250 0.750 0.500
Au2 0.500 0.500 0.000
```

Summary:
Its volume is 41.21 Å³/atom. The value obtained for the total moment is 0.00 μB/f.u. The calculation puts the energy above the lowest structure with this stoichiometry at 198 meV/atom. The value obtained for the density of states at the Fermi level is 0.3918 states/eV per atom. Its formation energy is -0.21 eV/atom.


9.
Crystalline SrSbW2 at its relaxed geometry, computed with PBE.

```
data_SrSbW2
_symmetry_space_group_name_H-M 'P 1'
_symmetry_Int_Tables_number 1
_cell_length_a 10.473
_cell_length_b 10.473
_cell_length_c 10.473
_cell_angle_alpha 154.07
_cell_angle_beta 154.07
_cell_angle_gamma 36.99
loop_
_symmetry_equiv_pos_as_xyz
'x,y,z'
loop_
_atom_site_label
_atom_site_fract_x
_atom_site_fract_y
_atom_site_fract_z
Sr1 0.000 0.000 0.000
Sr2 0.750 0.250 0.500
Sb1 0.250 0.750 0.500
Sb2 0.500 0.500 0.000
W1 0.292 0.625 0.167
W2 0.375 0.542 0.667
W3 0.458 0.125 0.833
W4 0.875 0.708 0.333
```

Summary:
Its volume is 27.41 Å³/atom. The value obtained for the total moment is 0.00 μB/f.u. For the energy relative to the elements, uncorrected, the calculation gives 1.00 eV/atom. The value obtained for the density of states at the Fermi level is 1.4163 states/eV per atom.


10.
Crystalline CuSb2Br at its relaxed geometry, computed with PBE.

```
data_CuSb2Br
_symmetry_space_group_name_H-M 'P 1'
_symmetry_Int_Tables_number 1
_cell_length_a 4.125
_cell_length_b 5.255
_cell_length_c 5.255
_cell_angle_alpha 64.02
_cell_angle_beta 90.00
_cell_angle_gamma 90.00
loop_
_symmetry_equiv_pos_as_xyz
'x,y,z'
loop_
_atom_site_label
_atom_site_fract_x
_atom_site_fract_y
_atom_site_fract_z
Cu1 0.000 0.000 0.000
Sb1 0.000 0.449 0.449
Sb2 0.500 0.213 0.213
Br1 0.500 0.772 0.772
```

Summary:
Its volume is 25.59 Å³/atom. The value obtained for the total moment is 0.00 μB/f.u. The calculation puts the energy above the lowest structure with this stoichiometry at 128 meV/atom. For the energy relative to the elements, uncorrected, the calculation gives 0.06 eV/atom. The value obtained for the density of states at the Fermi level is 0.1915 states/eV per atom.